Compound: TbNd2Hf
Source: Alexandria
Functional: GGA-PBE
Structure: relaxed

Cell lengths 4.967, 4.967, 4.887 Å; angles 90.00, 90.00, 90.00 degrees
Sites, in units of the cell vectors:
Tb 0.000 0.000 0.000
Nd 0.000 0.500 0.500
Nd 0.500 0.000 0.500
Hf 0.500 0.500 0.000

Properties
ΔE_f ... 0.18 eV/atom
Space group ... No. 123
Excess energy over the best structure of this formula in the dataset ... 10 meV per atom
Raw total energy ... -5.852 eV/atom